Here is an optimized crystal structure of Li5Zn2In5 from the Alexandria database. Energies are from PBE-GGA.

Cell lengths 4.6890, 4.6890, 12.4682 Å; angles 78.49, 78.49, 59.81 degrees
Closest atoms and distances in Å follow each position.
Sites, in units of the cell vectors:
Zn: 0.9260 0.9260 0.2164  5 Li 2.61-2.72
Zn: 0.0740 0.0740 0.7836  5 Li 2.61-2.72
Li: 0.1441 0.1441 0.5682  1 Zn 2.61, 4 In 2.82-2.88
Li: 0.8559 0.8559 0.4318  1 Zn 2.61, 4 In 2.82-2.88
Li: 0.0000 0.0000 0.0000  2 Zn 2.63, 6 In 2.86-2.87
Li: 0.6015 0.6015 0.1929  3 Zn 2.72, 2 In 3.03
Li: 0.3985 0.3985 0.8071  3 Zn 2.72, 2 In 3.03
In: 0.3061 0.3061 0.0771  6 Li 2.86-3.07, 1 In 3.08, 3 Zn 3.18-3.19
In: 0.5000 0.5000 0.5000  6 Li 2.82-2.83
In: 0.7793 0.7793 0.6689  7 Li 2.88-3.18, 3 Zn 3.03-3.06, 1 In 3.08
In: 0.2207 0.2207 0.3311  7 Li 2.88-3.18, 3 Zn 3.03-3.06, 1 In 3.08
In: 0.6939 0.6939 0.9229  6 Li 2.86-3.07, 1 In 3.08, 3 Zn 3.18-3.19

## Properties
Symmetry: C2/m
Uncorrected energy: -0.17163 Ry per atom